[1]
# SrAs2Se

A geometry-optimized SrAs2Se structure (PBEsol, Alexandria via LeMat-Bulk).

abc: 4.0390 4.0390 7.4430
angles: 74.26 74.26 60.00
Element x y z (fractional)
1 Sr 0.0000 0.0000 0.0000
2 As 0.7658 0.7658 0.7025
3 As 0.2342 0.2342 0.2975
4 Se 0.5000 0.5000 0.5000

Formation energy from raw total energies in meV/atom: -237
V in Å³/f.u.: 99.9
E_tot in eV per atom: -4.21



[2]
# ReC2

A geometry-optimized ReC2 structure (PBEsol, Alexandria via LeMat-Bulk).

abc: 2.8403 2.8403 8.2299
angles: 90.00 90.00 120.00
Element x y z (fractional)
1 Re 0.0000 0.0000 0.5000
2 Re 0.0000 0.0000 0.0000
3 C 0.6667 0.3333 0.3343
4 C 0.6667 0.3333 0.1657
5 C 0.3333 0.6667 0.8343
6 C 0.3333 0.6667 0.6657

Energy relative to the lowest polymorph listed for this composition in meV per atom: 0
V in Å³/f.u.: 28.7
Energy of formation in eV per atom: 0.63
E_tot in eV per atom: -10.24



[3]
# SrLiPdPt2

A geometry-optimized SrLiPdPt2 structure (PBEsol, Alexandria via LeMat-Bulk).

abc: 4.3729 4.9629 4.9629
angles: 90.00 90.00 90.00
Element x y z (fractional)
1 Pd 0.0000 0.0000 0.0000
2 Li 0.5000 0.0000 0.0000
3 Pt 0.0000 0.0000 0.5000
4 Pt 0.0000 0.5000 0.0000
5 Sr 0.5000 0.5000 0.5000

V in Å³/f.u.: 107.7
Energy of formation in eV per atom: -0.03
E_tot in eV per atom: -4.77



[4]
# SrAs2Pt

A geometry-optimized SrAs2Pt structure (PBEsol, Alexandria via LeMat-Bulk).

abc: 4.0334 4.7177 4.9002
angles: 100.72 90.00 90.00
Element x y z (fractional)
1 As 0.0000 0.2444 0.3564
2 As 0.0000 0.7556 0.6436
3 Pt 0.5000 0.0000 0.5000
4 Sr 0.5000 0.5000 0.0000

V in Å³/f.u.: 91.6
Energy of formation in eV per atom: -0.81
E_tot in eV per atom: -5.56



[5]
# Ta3CoH

A geometry-optimized Ta3CoH structure (PBEsol, Alexandria via LeMat-Bulk).

abc: 4.0409 4.0409 4.0409
angles: 90.00 90.00 90.00
Element x y z (fractional)
1 Ta 0.0000 0.0000 0.5000
2 Ta 0.0000 0.5000 0.0000
3 Ta 0.5000 0.0000 0.0000
4 H 0.0000 0.0000 0.0000
5 Co 0.5000 0.5000 0.5000

V in Å³/f.u.: 66.0
E_tot in eV per atom: -9.65



[6]
# LaRe2AuS

A geometry-optimized LaRe2AuS structure (PBEsol, Alexandria via LeMat-Bulk).

abc: 4.3713 4.3713 5.2592
angles: 90.00 90.00 90.00
Element x y z (fractional)
1 Re 0.5000 0.0000 0.0000
2 Re 0.0000 0.5000 0.0000
3 La 0.0000 0.0000 0.5000
4 S 0.0000 0.0000 0.0000
5 Au 0.5000 0.5000 0.5000

Formation energy from raw total energies in meV/atom: 501
V in Å³/f.u.: 100.5
E_tot in eV per atom: -7.56